Record 1
The following is a DFT calculation (PBE) of a geometry-optimized LiAg7 structure.

a b c (Å): 5.8398 5.8398 5.8398
angles (deg): 60.00 60.00 60.00
Closest atoms and distances in Å follow each position.
Fractional coordinates of all 8 atoms:
Li 0.0000 0.0000 0.0000  12 Ag 2.92
Ag 0.0000 0.0000 0.5000  2 Li 2.92, 10 Ag 2.92
Ag 0.0000 0.5000 0.0000  2 Li 2.92, 10 Ag 2.92
Ag 0.0000 0.5000 0.5000  10 Ag 2.92, 2 Li 2.92
Ag 0.5000 0.0000 0.0000  2 Li 2.92, 10 Ag 2.92
Ag 0.5000 0.0000 0.5000  10 Ag 2.92, 2 Li 2.92
Ag 0.5000 0.5000 0.0000  10 Ag 2.92, 2 Li 2.92
Ag 0.5000 0.5000 0.5000  12 Ag 2.92

---

Record 2
The following is a DFT calculation (PBE) of a geometry-optimized Li4Ag5 structure.

a b c (Å): 7.8293 7.8293 5.6212
angles (deg): 90.00 90.00 120.00
Closest atoms and distances in Å follow each position.
Fractional coordinates of all 18 atoms:
Li 0.0000 0.0000 0.0000  6 Ag 2.80, 8 Li 2.81-3.13
Li 0.0000 0.0000 0.5000  6 Ag 2.80, 8 Li 2.81-3.13
Li 0.0000 0.3572 0.2500  9 Ag 2.61-2.89
Li 0.0000 0.6428 0.7500  9 Ag 2.61-2.89
Li 0.3572 0.0000 0.2500  9 Ag 2.61-2.89
Li 0.3572 0.3572 0.7500  9 Ag 2.61-2.89
Li 0.6428 0.0000 0.7500  9 Ag 2.61-2.89
Li 0.6428 0.6428 0.2500  9 Ag 2.61-2.89
Ag 0.0000 0.3095 0.7500  7 Li 2.61-2.84
Ag 0.0000 0.6905 0.2500  7 Li 2.61-2.84
Ag 0.3095 0.0000 0.7500  7 Li 2.61-2.84
Ag 0.3095 0.3095 0.2500  7 Li 2.61-2.84
Ag 0.3333 0.6667 0.0000  8 Ag 2.81-3.05, 6 Li 2.89
Ag 0.3333 0.6667 0.5000  8 Ag 2.81-3.05, 6 Li 2.89
Ag 0.6667 0.3333 0.0000  8 Ag 2.81-3.05, 6 Li 2.89
Ag 0.6667 0.3333 0.5000  8 Ag 2.81-3.05, 6 Li 2.89
Ag 0.6905 0.0000 0.2500  7 Li 2.61-2.84
Ag 0.6905 0.6905 0.7500  7 Li 2.61-2.84

Summary:
**Distance to the lowest polymorph of the same formula**: 0.126 eV/f.u.

---

Record 3
The following is a DFT calculation (PBE) of a geometry-optimized Li2Ag structure.

a b c (Å): 2.9758 2.9758 6.8487
angles (deg): 90.00 90.00 120.00
Closest atoms and distances in Å follow each position.
Fractional coordinates of all 3 atoms:
Li 0.3333 0.6667 0.1836  3 Ag 2.77, 9 Li 2.98-3.05
Li 0.6667 0.3333 0.8164  3 Ag 2.77, 9 Li 2.98-3.05
Ag 0.0000 0.0000 0.5000  6 Li 2.77, 6 Ag 2.98

---

Record 4
The following is a DFT calculation (PBE) of a geometry-optimized Li3Ag13 structure.

a b c (Å): 8.1054 5.8510 5.8510
angles (deg): 89.49 90.00 90.00
Closest atoms and distances in Å follow each position.
Fractional coordinates of all 16 atoms:
Li 0.0000 0.0000 0.0000  10 Ag 2.82-2.94, 2 Li 3.01
Li 0.2544 0.2639 0.2639  11 Ag 2.84-2.93, 1 Li 3.01
Li 0.7456 0.2639 0.2639  11 Ag 2.84-2.93, 1 Li 3.01
Ag 0.0000 0.0171 0.4975  4 Li 2.86-2.94, 8 Ag 2.86-2.99
Ag 0.0000 0.4975 0.0171  4 Li 2.86-2.94, 8 Ag 2.86-2.99
Ag 0.0000 0.5061 0.5061  10 Ag 2.86-2.99, 2 Li 2.88
Ag 0.2474 0.2567 0.7644  3 Li 2.85-2.93, 9 Ag 2.87-2.95
Ag 0.2472 0.7612 0.7612  1 Li 2.82, 11 Ag 2.90-2.95
Ag 0.2474 0.7644 0.2567  3 Li 2.85-2.93, 9 Ag 2.87-2.95
Ag 0.5000 0.0148 0.0148  2 Li 2.87, 10 Ag 2.88-2.97
Ag 0.5000 0.0147 0.5072  2 Li 2.84, 10 Ag 2.88-2.97
Ag 0.5000 0.5072 0.0147  2 Li 2.84, 10 Ag 2.88-2.97
Ag 0.5000 0.5074 0.5074  2 Li 2.84, 10 Ag 2.88-2.97
Ag 0.7526 0.2567 0.7644  3 Li 2.85-2.93, 9 Ag 2.87-2.95
Ag 0.7528 0.7612 0.7612  1 Li 2.82, 11 Ag 2.90-2.95
Ag 0.7526 0.7644 0.2567  3 Li 2.85-2.93, 9 Ag 2.87-2.95

---

Record 5
The following is a DFT calculation (PBE) of a geometry-optimized Li5Ag structure.

a b c (Å): 11.1907 2.9667 6.7954
angles (deg): 90.00 105.96 90.00
Closest atoms and distances in Å follow each position.
Fractional coordinates of all 12 atoms:
Li 0.0000 0.0000 0.0000  9 Li 2.82-2.97, 2 Ag 2.83
Li 0.0376 0.0000 0.6069  10 Li 2.82-3.10, 2 Ag 2.87
Li 0.1601 0.5000 0.3327  1 Ag 2.87, 11 Li 2.88-3.18
Li 0.3134 0.0000 0.6904  2 Ag 2.77, 9 Li 2.93-3.10
Li 0.3665 0.0000 0.2464  2 Ag 2.82, 8 Li 2.93-3.05
Li 0.5000 0.5000 0.0000  9 Li 2.82-2.97, 2 Ag 2.83
Li 0.5376 0.5000 0.6069  10 Li 2.82-3.10, 2 Ag 2.87
Li 0.6601 0.0000 0.3327  1 Ag 2.87, 11 Li 2.88-3.18
Li 0.8134 0.5000 0.6904  2 Ag 2.77, 9 Li 2.93-3.10
Li 0.8665 0.5000 0.2464  2 Ag 2.82, 8 Li 2.93-3.05
Ag 0.2010 0.5000 0.9345  9 Li 2.77-2.87, 2 Ag 2.97
Ag 0.7010 0.0000 0.9345  9 Li 2.77-2.87, 2 Ag 2.97

---

Record 6
The following is a DFT calculation (PBE) of a geometry-optimized Li2Ag structure.

a b c (Å): 5.1078 5.1078 5.1078
angles (deg): 60.00 60.00 60.00
Closest atoms and distances in Å follow each position.
Fractional coordinates of all 6 atoms:
Li 0.0000 0.0000 0.0000  6 Li 2.55
Li 0.0000 0.0000 0.5000  6 Li 2.55
Li 0.0000 0.5000 0.0000  6 Li 2.55
Li 0.5000 0.0000 0.0000  6 Li 2.55
Ag 0.3750 0.3750 0.3750  12 Li 2.99, 4 Ag 3.13
Ag 0.6250 0.6250 0.6250  12 Li 2.99, 4 Ag 3.13

---

Record 7
The following is a DFT calculation (PBE) of a geometry-optimized Li3Ag4 structure.

a b c (Å): 7.1206 7.1206 7.1206
angles (deg): 113.41 113.41 113.41
Closest atoms and distances in Å follow each position.
Fractional coordinates of all 14 atoms:
Li 0.0488 0.6309 0.7683  8 Ag 2.71-2.82
Li 0.2317 0.9512 0.3691  8 Ag 2.71-2.82
Li 0.3691 0.2317 0.9512  8 Ag 2.71-2.82
Li 0.6309 0.7683 0.0488  8 Ag 2.71-2.82
Li 0.7683 0.0488 0.6309  8 Ag 2.71-2.82
Li 0.9512 0.3691 0.2317  8 Ag 2.71-2.82
Ag 0.0000 0.0000 0.0000  6 Li 2.74, 2 Ag 2.80
Ag 0.1222 0.2705 0.5681  7 Li 2.71-2.82, 2 Ag 2.88-3.03
Ag 0.2705 0.5681 0.1222  7 Li 2.71-2.82, 2 Ag 2.88-3.03
Ag 0.4319 0.8778 0.7295  7 Li 2.71-2.82, 2 Ag 2.88-3.03
Ag 0.5000 0.5000 0.5000  8 Ag 2.80-2.88, 6 Li 3.09
Ag 0.5681 0.1222 0.2705  7 Li 2.71-2.82, 2 Ag 2.88-3.03
Ag 0.7295 0.4319 0.8778  7 Li 2.71-2.82, 2 Ag 2.88-3.03
Ag 0.8778 0.7295 0.4319  7 Li 2.71-2.82, 2 Ag 2.88-3.03

Summary:
**Distance to the lowest polymorph of the same formula**: 0.000 eV/f.u.

---

Record 8
The following is a DFT calculation (PBE) of a geometry-optimized Li5Ag24 structure.

a b c (Å): 8.8368 8.8368 8.8368
angles (deg): 109.47 109.47 109.47
Closest atoms and distances in Å follow each position.
Fractional coordinates of all 29 atoms:
Li 0.0000 0.0000 0.0000  4 Li 3.13, 12 Ag 3.21
Li 0.0000 0.0000 0.6462  9 Ag 2.83-3.09, 1 Li 3.13
Li 0.0000 0.6462 0.0000  9 Ag 2.83-3.09, 1 Li 3.13
Li 0.3538 0.3538 0.3538  9 Ag 2.83-3.09, 1 Li 3.13
Li 0.6462 0.0000 0.0000  9 Ag 2.83-3.09, 1 Li 3.13
Ag 0.0000 0.1911 0.3789  8 Ag 2.71-2.93
Ag 0.0000 0.3789 0.1911  8 Ag 2.71-2.93
Ag 0.0000 0.4138 0.6896  11 Ag 2.79-3.12, 1 Li 2.83
Ag 0.0000 0.6896 0.4138  11 Ag 2.79-3.12, 1 Li 2.83
Ag 0.1877 0.8089 0.8089  8 Ag 2.71-2.93
Ag 0.1911 0.0000 0.3789  8 Ag 2.71-2.93
Ag 0.1911 0.3789 0.0000  8 Ag 2.71-2.93
Ag 0.2758 0.5862 0.5862  11 Ag 2.79-3.12, 1 Li 2.83
Ag 0.3104 0.3104 0.7242  11 Ag 2.79-3.12, 1 Li 2.83
Ag 0.3104 0.7242 0.3104  11 Ag 2.79-3.12, 1 Li 2.83
Ag 0.3789 0.0000 0.1911  8 Ag 2.71-2.93
Ag 0.3789 0.1911 0.0000  8 Ag 2.71-2.93
Ag 0.4138 0.0000 0.6896  11 Ag 2.79-3.12, 1 Li 2.83
Ag 0.4138 0.6896 0.0000  11 Ag 2.79-3.12, 1 Li 2.83
Ag 0.5862 0.2758 0.5862  11 Ag 2.79-3.12, 1 Li 2.83
Ag 0.5862 0.5862 0.2758  11 Ag 2.79-3.12, 1 Li 2.83
Ag 0.6211 0.6211 0.8123  8 Ag 2.71-2.93
Ag 0.6211 0.8123 0.6211  8 Ag 2.71-2.93
Ag 0.6896 0.0000 0.4138  11 Ag 2.79-3.12, 1 Li 2.83
Ag 0.6896 0.4138 0.0000  11 Ag 2.79-3.12, 1 Li 2.83
Ag 0.7242 0.3104 0.3104  11 Ag 2.79-3.12, 1 Li 2.83
Ag 0.8089 0.1877 0.8089  8 Ag 2.71-2.93
Ag 0.8089 0.8089 0.1877  8 Ag 2.71-2.93
Ag 0.8123 0.6211 0.6211  8 Ag 2.71-2.93

---

The following volume values (in Å³/f.u.) correspond, in order, to the records above: 141 149 53 277 108 47 114 531.
The following formation enthalpy at 0 K values (in eV per atom) correspond, in order, to the records above: -0.0370 -0.1554 -0.1033 -0.0788 -0.0833 -0.0213 -0.1887 -0.0226.